First-principles (PBE) data for a relaxed AlS5Br crystal, as listed in Alexandria.

Values from the calculation:
M_tot	0.0	μB per formula unit
formation energy (no corrections)	-0.2985	eV per atom

Cell lengths 5.8131, 5.9837, 7.4421 Å; angles 104.51, 109.54, 99.37 degrees
Last column: nearest neighbours and their distance in Å.
Positions (direct):
1 Al 0.0000 0.0000 0.0000  3 S 2.27-2.43, 1 Br 2.34
2 S 0.0223 0.6318 0.0785  1 S 2.03
3 S 0.1070 0.1490 0.7786  1 S 2.02
4 S 0.2025 0.2808 0.3109  1 S 2.08, 1 Al 2.27
5 S 0.3463 0.5452 0.2120  2 S 2.03-2.08
6 S 0.8414 0.3302 0.7689  1 S 2.02
7 Br 0.5643 0.8224 0.8791  1 Al 2.34